A plane-wave DFT calculation with GGA-PBE was carried out for Sr2Cu2As after structural relaxation.

Results
For the density of states at the Fermi level, the calculation gives 1.97 states/eV/f.u. The volume is 24.5 Å³/atom. Its energy above the most stable polymorph in this dataset is 0.0000 eV per atom. The formation energy is -0.31 eV/atom. The value obtained for the total energy is -3.553 eV per atom. For the theoretical density, the calculation gives 5.11 g/cm³.

```
data_Sr2Cu2As
_chemical_formula_sum 'Sr4 Cu4 As2'
_symmetry_space_group_name_H-M 'I 4/m m m'
_symmetry_Int_Tables_number 139
_symmetry_space_group_name_Hall '-I 4 2'
_cell_length_a 3.6987
_cell_length_b 3.6987
_cell_length_c 17.9174
_cell_angle_alpha 90.00
_cell_angle_beta 90.00
_cell_angle_gamma 90.00
loop_
_atom_site_label
_atom_site_fract_x
_atom_site_fract_y
_atom_site_fract_z
Sr1 0.0000 0.0000 0.1025
Cu1 0.0000 0.5000 0.2500
As1 0.0000 0.0000 0.5000
```

***

A plane-wave DFT calculation with GGA-PBE was carried out for SrCuAs after structural relaxation.

Results
For the density of states at the Fermi level, the calculation gives 0.40 states/eV/f.u. The volume is 23.8 Å³/atom. The formation energy is -0.65 eV/atom. The value obtained for the total energy is -4.123 eV per atom. For the theoretical density, the calculation gives 5.26 g/cm³.

```
data_SrCuAs
_chemical_formula_sum 'Sr2 Cu2 As2'
_symmetry_space_group_name_H-M 'P -1'
_symmetry_Int_Tables_number 2
_cell_length_a 4.1358
_cell_length_b 5.9923
_cell_length_c 6.2183
_cell_angle_alpha 100.29
_cell_angle_beta 109.34
_cell_angle_gamma 90.08
loop_
_symmetry_equiv_pos_as_xyz
'x,y,z'
'-x,-y,-z'
loop_
_atom_site_label
_atom_site_fract_x
_atom_site_fract_y
_atom_site_fract_z
Sr1 0.1016 0.3127 0.2048
Cu1 0.2144 0.8898 0.4289
As1 0.3780 0.2501 0.7570
```

***

A plane-wave DFT calculation with GGA-PBE was carried out for SrCu2As after structural relaxation.

Results
For the density of states at the Fermi level, the calculation gives 2.14 states/eV/f.u. The volume is 20.3 Å³/atom. The formation energy is 0.07 eV/atom. The value obtained for the total energy is -3.557 eV per atom. For the theoretical density, the calculation gives 5.94 g/cm³.

```
data_SrCu2As
_chemical_formula_sum 'Sr1 Cu2 As1'
_symmetry_space_group_name_H-M 'P 4/m m m'
_symmetry_Int_Tables_number 123
_symmetry_space_group_name_Hall '-P 4 2'
_cell_length_a 3.5642
_cell_length_b 3.5642
_cell_length_c 6.3775
_cell_angle_alpha 90.00
_cell_angle_beta 90.00
_cell_angle_gamma 90.00
loop_
_atom_site_label
_atom_site_fract_x
_atom_site_fract_y
_atom_site_fract_z
Sr1 0.0000 0.0000 0.0000
Cu1 0.5000 0.5000 0.3109
As1 0.0000 0.0000 0.5000
```

***

A plane-wave DFT calculation with GGA-PBE was carried out for Sr4Cu5As6 after structural relaxation.

Results
For the density of states at the Fermi level, the calculation gives 8.25 states/eV/f.u. The volume is 22.1 Å³/atom. The formation energy is -0.59 eV/atom. The value obtained for the total energy is -4.260 eV per atom. For the theoretical density, the calculation gives 5.59 g/cm³.

```
data_Sr4Cu5As6
_chemical_formula_sum 'Sr16 Cu20 As24'
_symmetry_space_group_name_H-M 'C m c 21'
_symmetry_Int_Tables_number 36
_cell_length_a 4.2804
_cell_length_b 19.4245
_cell_length_c 15.9684
_cell_angle_alpha 90.00
_cell_angle_beta 90.00
_cell_angle_gamma 90.00
loop_
_symmetry_equiv_pos_as_xyz
'x,y,z'
'-x,-y,z+1/2'
'-x,y,z'
'x,-y,z+1/2'
'x+1/2,y+1/2,z'
'-x+1/2,-y+1/2,z+1/2'
'-x+1/2,y+1/2,z'
'x+1/2,-y+1/2,z+1/2'
loop_
_atom_site_label
_atom_site_fract_x
_atom_site_fract_y
_atom_site_fract_z
Sr1 0.0000 0.0187 0.0000
Sr2 0.0000 0.0223 0.2508
Sr3 0.0000 0.1748 0.4502
Sr4 0.0000 0.1812 0.8090
Cu1 0.0000 0.1501 0.1272
Cu2 0.0000 0.2890 0.1285
Cu3 0.0000 0.3492 0.4868
Cu4 0.0000 0.3529 0.7617
Cu5 0.0000 0.4044 0.1994
As1 0.0000 0.1171 0.6294
As2 0.0000 0.2111 0.2574
As3 0.0000 0.2150 0.9994
As4 0.0000 0.4169 0.6228
As5 0.0000 0.4336 0.3582
As6 0.0000 0.4358 0.8837
```

***

A plane-wave DFT calculation with GGA-PBE was carried out for SrCu4As3 after structural relaxation.

Results
For the density of states at the Fermi level, the calculation gives 2.62 states/eV/f.u. The volume is 17.8 Å³/atom. The formation energy is -0.31 eV/atom. The value obtained for the total energy is -4.317 eV per atom. For the theoretical density, the calculation gives 6.60 g/cm³.

```
data_SrCu4As3
_chemical_formula_sum 'Sr1 Cu4 As3'
_symmetry_space_group_name_H-M 'P 4/m m m'
_symmetry_Int_Tables_number 123
_symmetry_space_group_name_Hall '-P 4 2'
_cell_length_a 4.2195
_cell_length_b 4.2195
_cell_length_c 8.0049
_cell_angle_alpha 90.00
_cell_angle_beta 90.00
_cell_angle_gamma 90.00
loop_
_atom_site_label
_atom_site_fract_x
_atom_site_fract_y
_atom_site_fract_z
Sr1 0.0000 0.0000 0.0000
Cu1 0.0000 0.5000 0.3289
As1 0.0000 0.0000 0.5000
As2 0.5000 0.5000 0.1662
```

***

A plane-wave DFT calculation with GGA-PBE was carried out for SrCuAs after structural relaxation.

Results
For the density of states at the Fermi level, the calculation gives 0.00 states/eV/f.u. The volume is 28.8 Å³/atom. The formation energy is -0.50 eV/atom. The value obtained for the total energy is -3.975 eV per atom. For the theoretical density, the calculation gives 4.35 g/cm³.

```
data_SrCuAs
_chemical_formula_sum 'Sr2 Cu2 As2'
_symmetry_space_group_name_H-M 'P 4/n m m'
_symmetry_Int_Tables_number 129
_cell_length_a 6.1796
_cell_length_b 6.1796
_cell_length_c 4.5249
_cell_angle_alpha 90.00
_cell_angle_beta 90.00
_cell_angle_gamma 90.00
loop_
_symmetry_equiv_pos_as_xyz
'x,y,z'
'-x,-y,-z'
'-y+1/2,x,z'
'y+1/2,-x,-z'
'-x+1/2,-y+1/2,z'
'x+1/2,y+1/2,-z'
'y,-x+1/2,z'
'-y,x+1/2,-z'
'x+1/2,-y,-z'
'-x+1/2,y,z'
'-y,-x,-z'
'y,x,z'
'-x,y+1/2,-z'
'x,-y+1/2,z'
'y+1/2,x+1/2,-z'
'-y+1/2,-x+1/2,z'
loop_
_atom_site_label
_atom_site_fract_x
_atom_site_fract_y
_atom_site_fract_z
Sr1 0.2500 0.7500 0.0000
Cu1 0.2500 0.2500 0.3380
As1 0.2500 0.2500 0.8337
```